A plane-wave DFT calculation with PBE was carried out for a relaxed SrTlPdO3 crystal.

```
SrTlPdO3
1.0
-6.251 -2.829 1.492
0.596 -5.058 4.834
-1.919 1.155 4.702
Sr Tl Pd O
2 2 2 6
Cartesian
-3.723 -4.992 4.298 Sr
-3.851 -1.740 6.730 Sr
-2.226 -0.383 4.305 Tl
-5.348 -6.349 6.722 Tl
-1.495 -4.112 6.632 Pd
-6.079 -2.620 4.395 Pd
-2.965 -2.497 4.410 O
-1.692 -2.513 7.788 O
-6.048 -1.095 5.662 O
-1.526 -5.637 5.366 O
-5.883 -4.219 3.239 O
-4.609 -4.235 6.618 O
```

Density of states at the Fermi level: 0.58 states/eV per atom
Size of the total moment: 0.00 μB per formula unit
Energy relative to the elements, uncorrected: -1.070 eV/atom
Total energy: -61.1 eV/cell

A plane-wave DFT calculation with PBE was carried out for a relaxed TlReP2 crystal.

```
TlReP2
1.0
-8.054 -1.108 2.498
-6.475 -5.165 1.931
7.886 3.184 -0.110
P Re Tl
2 1 1
Cartesian
-14.231 -6.144 4.339 P
-2.389 0.043 1.897 P
-7.961 -3.437 2.427 Re
-3.855 -2.960 2.301 Tl
```

Density of states at the Fermi level: 0.64 states/eV per atom
Energy relative to the lowest polymorph listed for this composition: 76 meV/atom
Size of the total moment: 0.00 μB per formula unit
Total energy: -25.3 eV/cell
Energy of formation: 0.0866 eV per atom

A plane-wave DFT calculation with PBE was carried out for a relaxed ScTiBeRe crystal.

```
ScTiBeRe
1.0
4.438 0.000 0.000
2.219 3.843 0.000
2.219 1.281 3.623
Sc Re Be Ti
1 1 1 1
Cartesian
6.657 3.843 2.718 Sc
4.438 2.562 1.812 Re
0.000 0.000 0.000 Be
2.219 1.281 0.906 Ti
```

Density of states at the Fermi level: 0.86 states/eV per atom
Size of the total moment: 0.00 μB per formula unit
Total energy: -30.9 eV/cell
Energy of formation: -0.1272 eV per atom